Record 1
Below is a relaxed Li5MnCo2O8 crystal, with properties calculated at the PBE with a Hubbard U level.

## Properties
The calculated total energy comes out at -5.687 eV per atom. For the total magnetic moment, the calculation gives 4.66 μB/f.u. Its calculated density is 4.05 g/cm³.

Cell: 4.952 2.897 9.773 Å, 90.00 100.92 90.00°
Fractional positions:
Li 0.000 0.000 0.000
Li 0.229 0.500 0.220
Li 0.254 0.000 0.771
Li 0.746 0.000 0.229
Li 0.771 0.500 0.780
Mn 0.000 0.500 0.500
Co 0.500 0.000 0.500
Co 0.500 0.500 0.000
O 0.130 0.000 0.389
O 0.157 0.500 0.885
O 0.373 0.500 0.605
O 0.386 0.000 0.109
O 0.614 0.000 0.891
O 0.627 0.500 0.395
O 0.843 0.500 0.115
O 0.870 0.000 0.611

Record 2
Below is a relaxed Li4MnCo2O7 crystal, with properties calculated at the PBE with a Hubbard U level.

## Properties
The calculated total energy comes out at -5.836 eV per atom. For the total magnetic moment, the calculation gives 3.00 μB/f.u. Its calculated density is 4.33 g/cm³.

Cell: 5.067 5.067 17.155 Å, 95.46 95.46 33.12°
Fractional positions:
Li 0.000 0.000 0.000
Li 0.002 0.002 0.495
Li 0.144 0.144 0.285
Li 0.290 0.290 0.559
Li 0.435 0.435 0.857
Li 0.576 0.576 0.143
Li 0.718 0.718 0.432
Li 0.862 0.862 0.713
Mn 0.578 0.578 0.637
Mn 0.718 0.718 0.929
Co 0.142 0.142 0.785
Co 0.293 0.293 0.072
Co 0.429 0.429 0.357
Co 0.859 0.859 0.213
O 0.052 0.052 0.384
O 0.077 0.077 0.889
O 0.204 0.204 0.681
O 0.233 0.233 0.177
O 0.358 0.358 0.968
O 0.360 0.360 0.451
O 0.483 0.483 0.249
O 0.519 0.519 0.749
O 0.647 0.647 0.543
O 0.665 0.665 0.035
O 0.770 0.770 0.822
O 0.804 0.804 0.317
O 0.916 0.916 0.109
O 0.951 0.951 0.611

Record 3
Below is a relaxed Li7Mn4CoO12 crystal, with properties calculated at the PBE with a Hubbard U level.

## Properties
The calculated total energy comes out at -6.197 eV per atom. For the total magnetic moment, the calculation gives 16.00 μB/f.u. Its calculated density is 3.95 g/cm³.

Cell: 8.709 2.868 9.737 Å, 90.00 116.04 90.00°
Fractional positions:
Li 0.000 0.000 0.000
Li 0.000 0.500 0.498
Li 0.331 0.500 0.170
Li 0.375 0.000 0.665
Li 0.501 0.500 0.497
Li 0.632 0.000 0.332
Li 0.671 0.500 0.826
Mn 0.161 0.500 0.827
Mn 0.187 0.000 0.337
Mn 0.509 0.000 0.002
Mn 0.814 0.000 0.660
Co 0.849 0.500 0.173
O 0.063 0.000 0.673
O 0.100 0.500 0.184
O 0.235 0.000 0.978
O 0.246 0.500 0.486
O 0.394 0.000 0.330
O 0.433 0.500 0.846
O 0.581 0.500 0.156
O 0.606 0.000 0.667
O 0.755 0.500 0.512
O 0.774 0.000 0.026
O 0.900 0.500 0.813
O 0.939 0.000 0.321

Record 4
Below is a relaxed Li3Mn3CoO8 crystal, with properties calculated at the PBE with a Hubbard U level.

## Properties
The calculated total energy comes out at -6.421 eV per atom. For the total magnetic moment, the calculation gives 13.00 μB/f.u. Its calculated density is 4.37 g/cm³.

Cell: 5.909 5.909 9.512 Å, 90.00 90.00 121.50°
Fractional positions:
Li 0.179 0.343 0.503
Li 0.183 0.817 0.500
Li 0.343 0.179 0.003
Li 0.657 0.821 0.503
Li 0.817 0.183 0.000
Li 0.821 0.657 0.003
Mn 0.166 0.336 0.773
Mn 0.166 0.834 0.775
Mn 0.336 0.166 0.273
Mn 0.664 0.834 0.773
Mn 0.834 0.166 0.275
Mn 0.834 0.664 0.273
Co 0.334 0.666 0.057
Co 0.666 0.334 0.557
O 0.019 0.981 0.388
O 0.030 0.514 0.894
O 0.157 0.843 0.157
O 0.164 0.312 0.164
O 0.312 0.164 0.664
O 0.348 0.652 0.654
O 0.481 0.519 0.894
O 0.486 0.970 0.894
O 0.514 0.030 0.394
O 0.519 0.481 0.394
O 0.652 0.348 0.154
O 0.688 0.836 0.164
O 0.836 0.688 0.664
O 0.843 0.157 0.657
O 0.970 0.486 0.394
O 0.981 0.019 0.888

Record 5
Below is a relaxed Li2Mn3CoO8 crystal, with properties calculated at the PBE with a Hubbard U level.

## Properties
The calculated total energy comes out at -6.596 eV per atom. For the total magnetic moment, the calculation gives 11.94 μB/f.u. Its calculated density is 4.28 g/cm³.

Cell: 5.824 5.824 9.650 Å, 90.00 90.00 120.00°
Fractional positions:
Li 0.000 0.000 0.000
Li 0.000 0.000 0.500
Li 0.333 0.667 0.389
Li 0.667 0.333 0.889
Mn 0.169 0.337 0.717
Mn 0.169 0.831 0.717
Mn 0.337 0.169 0.217
Mn 0.663 0.831 0.717
Mn 0.831 0.169 0.217
Mn 0.831 0.663 0.217
Co 0.333 0.667 0.996
Co 0.667 0.333 0.496
O 0.000 0.000 0.314
O 0.000 0.000 0.814
O 0.034 0.517 0.832
O 0.158 0.317 0.108
O 0.158 0.842 0.108
O 0.317 0.158 0.608
O 0.333 0.667 0.611
O 0.483 0.517 0.832
O 0.483 0.966 0.832
O 0.517 0.034 0.332
O 0.517 0.483 0.332
O 0.667 0.333 0.111
O 0.683 0.842 0.108
O 0.842 0.158 0.608
O 0.842 0.683 0.608
O 0.966 0.483 0.332

Record 6
Below is a relaxed Li4MnCo2O7 crystal, with properties calculated at the PBE with a Hubbard U level.

## Properties
The calculated total energy comes out at -5.812 eV per atom. For the total magnetic moment, the calculation gives 9.00 μB/f.u. Its calculated density is 4.14 g/cm³.

Cell: 4.975 5.872 8.999 Å, 90.05 96.80 106.19°
Fractional positions:
Li 0.000 0.000 0.000
Li 0.000 0.500 0.000
Li 0.138 0.295 0.268
Li 0.284 0.568 0.574
Li 0.424 0.854 0.874
Li 0.576 0.146 0.126
Li 0.716 0.432 0.426
Li 0.862 0.705 0.732
Mn 0.285 0.073 0.574
Mn 0.715 0.927 0.426
Co 0.144 0.786 0.280
Co 0.437 0.361 0.868
Co 0.563 0.639 0.132
Co 0.856 0.214 0.720
O 0.000 0.222 0.496
O 0.000 0.778 0.504
O 0.138 0.500 0.775
O 0.140 0.046 0.766
O 0.301 0.820 0.084
O 0.302 0.329 0.068
O 0.424 0.085 0.373
O 0.432 0.635 0.360
O 0.568 0.365 0.640
O 0.576 0.915 0.627
O 0.698 0.671 0.932
O 0.699 0.180 0.916
O 0.860 0.954 0.234
O 0.862 0.500 0.225

Record 7
Below is a relaxed Li4MnCo2O7 crystal, with properties calculated at the PBE with a Hubbard U level.

## Properties
The calculated total energy comes out at -5.760 eV per atom. For the total magnetic moment, the calculation gives 0.99 μB/f.u. Its calculated density is 4.35 g/cm³.

Cell: 5.069 5.069 17.279 Å, 95.66 95.66 32.72°
Fractional positions:
Li 0.000 0.000 0.000
Li 0.000 0.000 0.499
Li 0.137 0.137 0.287
Li 0.296 0.296 0.563
Li 0.427 0.427 0.857
Li 0.568 0.568 0.147
Li 0.703 0.703 0.434
Li 0.858 0.858 0.703
Mn 0.143 0.143 0.784
Mn 0.284 0.284 0.071
Co 0.419 0.419 0.358
Co 0.575 0.575 0.638
Co 0.715 0.715 0.928
Co 0.853 0.853 0.214
O 0.044 0.044 0.385
O 0.087 0.087 0.891
O 0.202 0.202 0.682
O 0.225 0.225 0.178
O 0.340 0.340 0.963
O 0.352 0.352 0.450
O 0.478 0.478 0.250
O 0.511 0.511 0.749
O 0.646 0.646 0.544
O 0.653 0.653 0.031
O 0.776 0.776 0.824
O 0.796 0.796 0.317
O 0.914 0.914 0.109
O 0.950 0.950 0.608

Record 8
Below is a relaxed Li4MnCo2O7 crystal, with properties calculated at the PBE with a Hubbard U level.

## Properties
The calculated total energy comes out at -5.866 eV per atom. For the total magnetic moment, the calculation gives 3.97 μB/f.u. Its calculated density is 4.36 g/cm³.

Cell: 10.303 10.303 5.070 Å, 94.62 94.62 152.00°
Fractional positions:
Li 0.000 0.000 0.000
Li 0.068 0.932 0.500
Li 0.212 0.788 0.500
Li 0.358 0.642 0.500
Li 0.499 0.501 0.500
Li 0.640 0.360 0.500
Li 0.783 0.217 0.500
Li 0.934 0.066 0.500
Mn 0.569 0.431 0.000
Mn 0.858 0.142 0.000
Co 0.141 0.859 0.000
Co 0.284 0.716 0.000
Co 0.428 0.572 0.000
Co 0.713 0.287 0.000
O 0.009 0.441 0.231
O 0.114 0.402 0.784
O 0.171 0.326 0.225
O 0.279 0.280 0.771
O 0.328 0.177 0.224
O 0.399 0.114 0.781
O 0.454 0.027 0.212
O 0.559 0.991 0.769
O 0.598 0.886 0.216
O 0.674 0.829 0.775
O 0.720 0.721 0.229
O 0.823 0.672 0.776
O 0.886 0.601 0.219
O 0.973 0.546 0.788

Record 9
Below is a relaxed Li4MnCo2O7 crystal, with properties calculated at the PBE with a Hubbard U level.

## Properties
The calculated total energy comes out at -5.813 eV per atom. For the total magnetic moment, the calculation gives 3.00 μB/f.u. Its calculated density is 4.38 g/cm³.

Cell: 2.858 5.045 17.213 Å, 84.40 89.74 73.66°
Fractional positions:
Li 0.000 0.000 0.000
Li 0.010 0.998 0.500
Li 0.147 0.720 0.782
Li 0.296 0.408 0.065
Li 0.429 0.130 0.353
Li 0.581 0.855 0.640
Li 0.718 0.573 0.936
Li 0.860 0.269 0.213
Mn 0.430 0.150 0.859
Mn 0.720 0.563 0.427
Co 0.141 0.703 0.283
Co 0.299 0.424 0.570
Co 0.575 0.837 0.139
Co 0.866 0.285 0.711
O 0.057 0.893 0.885
O 0.082 0.825 0.388
O 0.196 0.590 0.179
O 0.241 0.538 0.675
O 0.358 0.302 0.465
O 0.359 0.287 0.953
O 0.490 0.033 0.747
O 0.516 0.952 0.247
O 0.648 0.705 0.046
O 0.676 0.680 0.535
O 0.764 0.447 0.319
O 0.805 0.404 0.816
O 0.924 0.173 0.607
O 0.956 0.088 0.113

Record 10
Below is a relaxed Li6Mn3CoO10 crystal, with properties calculated at the PBE with a Hubbard U level.

## Properties
The calculated total energy comes out at -6.088 eV per atom. For the total magnetic moment, the calculation gives 7.50 μB/f.u. Its calculated density is 3.89 g/cm³.

Cell: 10.503 10.503 5.962 Å, 97.46 97.46 16.15°
Fractional positions:
Li 0.000 0.000 0.000
Li 0.000 0.000 0.490
Li 0.202 0.202 0.595
Li 0.409 0.409 0.215
Li 0.593 0.593 0.782
Li 0.807 0.807 0.402
Mn 0.202 0.202 0.098
Mn 0.599 0.599 0.303
Mn 0.803 0.803 0.891
Co 0.413 0.413 0.687
O 0.103 0.103 0.517
O 0.108 0.108 0.077
O 0.296 0.296 0.123
O 0.303 0.303 0.673
O 0.499 0.499 0.753
O 0.512 0.512 0.248
O 0.699 0.699 0.334
O 0.706 0.706 0.859
O 0.894 0.894 0.933
O 0.901 0.901 0.459

Record 11
Below is a relaxed Li4MnCo2O7 crystal, with properties calculated at the PBE with a Hubbard U level.

## Properties
The calculated total energy comes out at -5.797 eV per atom. For the total magnetic moment, the calculation gives 7.00 μB/f.u. Its calculated density is 4.15 g/cm³.

Cell: 15.092 15.092 5.842 Å, 95.59 95.59 10.89°
Fractional positions:
Li 0.000 0.000 0.000
Li 0.001 0.001 0.492
Li 0.141 0.141 0.567
Li 0.296 0.296 0.144
Li 0.437 0.437 0.706
Li 0.570 0.570 0.284
Li 0.719 0.719 0.852
Li 0.864 0.864 0.432
Mn 0.143 0.143 0.061
Mn 0.718 0.718 0.359
Co 0.292 0.292 0.645
Co 0.435 0.435 0.217
Co 0.564 0.564 0.763
Co 0.864 0.864 0.926
O 0.073 0.073 0.545
O 0.079 0.079 0.011
O 0.211 0.211 0.123
O 0.217 0.217 0.585
O 0.364 0.364 0.704
O 0.368 0.368 0.153
O 0.495 0.495 0.245
O 0.505 0.505 0.754
O 0.642 0.642 0.286
O 0.647 0.647 0.842
O 0.791 0.791 0.406
O 0.792 0.792 0.880
O 0.932 0.932 0.430
O 0.933 0.933 0.996

Record 12
Below is a relaxed Li4MnCo2O7 crystal, with properties calculated at the PBE with a Hubbard U level.

## Properties
The calculated total energy comes out at -5.844 eV per atom. For the total magnetic moment, the calculation gives 5.00 μB/f.u. Its calculated density is 4.30 g/cm³.

Cell: 4.991 6.582 7.637 Å, 85.76 76.50 81.71°
Fractional positions:
Li 0.000 0.000 0.000
Li 0.061 0.866 0.350
Li 0.207 0.575 0.068
Li 0.342 0.265 0.795
Li 0.490 0.999 0.505
Li 0.652 0.723 0.206
Li 0.796 0.419 0.934
Li 0.936 0.129 0.659
Mn 0.424 0.135 0.142
Mn 0.707 0.569 0.577
Co 0.140 0.725 0.723
Co 0.276 0.425 0.431
Co 0.569 0.858 0.860
Co 0.850 0.281 0.287
O 0.024 0.426 0.661
O 0.108 0.280 0.058
O 0.162 0.147 0.378
O 0.268 0.988 0.756
O 0.343 0.871 0.103
O 0.393 0.703 0.486
O 0.469 0.592 0.815
O 0.526 0.407 0.198
O 0.596 0.310 0.528
O 0.655 0.128 0.905
O 0.729 0.024 0.253
O 0.818 0.831 0.619
O 0.892 0.715 0.944
O 0.954 0.549 0.337

Record 13
Below is a relaxed Li7Mn4CoO12 crystal, with properties calculated at the PBE with a Hubbard U level.

## Properties
The calculated total energy comes out at -6.198 eV per atom. For the total magnetic moment, the calculation gives 14.00 μB/f.u. Its calculated density is 3.96 g/cm³.

Cell: 5.037 5.037 9.889 Å, 78.80 86.89 62.35°
Fractional positions:
Li 0.000 0.000 0.000
Li 0.005 0.486 0.492
Li 0.318 0.337 0.000
Li 0.329 0.823 0.488
Li 0.655 0.660 0.005
Li 0.669 0.168 0.492
Li 0.995 0.245 0.246
Mn 0.330 0.079 0.745
Mn 0.663 0.412 0.747
Mn 0.663 0.913 0.246
Mn 0.995 0.746 0.746
Co 0.326 0.576 0.246
O 0.011 0.837 0.355
O 0.022 0.093 0.625
O 0.301 0.734 0.864
O 0.352 0.921 0.136
O 0.356 0.425 0.628
O 0.367 0.202 0.354
O 0.623 0.297 0.138
O 0.634 0.566 0.357
O 0.636 0.066 0.865
O 0.691 0.757 0.629
O 0.969 0.398 0.868
O 0.988 0.652 0.139